This record from Alexandria describes crystalline ZnWIO2 at its relaxed geometry. The functional is PBE with a Hubbard U.

**Space group**: No. 123
**Total energy**: -17.9 eV per cell
**Crystal system**: tetragonal
**Fermi-level density of states**: 2.1 states/eV/f.u.
**Total moment**: 3.07 Bohr magnetons per cell
**ΔE to the lowest computed polymorph**: 1220 meV per atom

Cell lengths 4.106, 4.106, 5.450 Å; angles 90.00, 90.00, 90.00 degrees
Fractional coordinates of all 5 atoms:
Zn 0.000 0.000 0.000
W 0.500 0.500 0.500
I 0.000 0.000 0.500
O 0.000 0.500 0.000
O 0.500 0.000 0.000